Cd4AsOs: relaxed, PBE.

- Calculated total energy: -2.550 eV per atom
- ΔE_f: 0.707 eV/atom

Structure (extended XYZ):
```
6
Lattice="0.0000 3.9070 3.9070 3.9070 0.0000 3.9070 3.9070 3.9070 0.0000" Properties=species:S:1:pos:R:3 pbc="T T T"
Cd 0.9720 0.9720 0.9720
Cd 2.9350 2.9350 0.9720
Cd 2.9350 0.9720 2.9350
Cd 0.9720 2.9350 2.9350
As 3.9070 3.9070 3.9070
Os 5.8605 5.8605 5.8605
```

CdAsOs2: relaxed, PBE.

- Energy above the lowest structure with this stoichiometry: 387.5 meV/atom
- Calculated total energy: -6.344 eV per atom
- ΔE_f: 0.662 eV/atom

Structure (extended XYZ):
```
8
Lattice="2.8824 0.0000 0.0000 0.0000 4.6665 0.0000 0.0000 0.0000 10.0892" Properties=species:S:1:pos:R:3 pbc="T T T"
Cd 0.0000 0.0000 0.0000
Cd 1.4412 2.3333 5.0446
As 0.0000 2.3333 2.1632
As 1.4412 0.0000 7.2078
Os 0.0000 0.0000 4.9972
Os 0.0000 2.3333 7.8864
Os 1.4412 0.0000 2.8418
Os 1.4412 2.3333 10.0418
```

Cd2AsOs: relaxed, PBE.

- Calculated total energy: -3.723 eV per atom
- ΔE_f: 0.705 eV/atom

Structure (extended XYZ):
```
4
Lattice="4.9748 0.0000 0.0000 0.0000 4.9748 0.0000 0.0000 0.0000 3.0344" Properties=species:S:1:pos:R:3 pbc="T T T"
Cd 0.0000 2.4874 0.0000
Cd 2.4874 0.0000 0.0000
As 0.0000 0.0000 1.5172
Os 2.4874 2.4874 1.5172
```

Please write out number 1 again, unchanged.
Cd4AsOs: relaxed, PBE.

- Calculated total energy: -2.550 eV per atom
- ΔE_f: 0.707 eV/atom

Structure (extended XYZ):
```
6
Lattice="0.0000 3.9070 3.9070 3.9070 0.0000 3.9070 3.9070 3.9070 0.0000" Properties=species:S:1:pos:R:3 pbc="T T T"
Cd 0.9720 0.9720 0.9720
Cd 2.9350 2.9350 0.9720
Cd 2.9350 0.9720 2.9350
Cd 0.9720 2.9350 2.9350
As 3.9070 3.9070 3.9070
Os 5.8605 5.8605 5.8605
```